{
  "formula": "CsAcFeF6",
  "functional": "PBE+U",
  "state": "relaxed",
  "lattice": [[8.3745, 0.0000, 0.0000], [0.0000, 7.8056, 0.0000], [-4.1873, -3.9028, 5.3207]],
  "species": ["Cs", "Cs", "Ac", "Ac", "Fe", "Fe", "F", "F", "F", "F", "F", "F", "F", "F", "F", "F", "F", "F"],
  "fractional_positions": [[0.8334, 0.5834, 0.6669], [0.1666, 0.4166, 0.3331], [0.5000, 0.0000, 0.5000], [0.0000, 0.0000, 0.5000], [0.5000, 0.5000, 0.0000], [0.5000, 0.0000, 0.0000], [0.5898, 0.8398, 0.1796], [0.8714, 0.1214, 0.7428], [0.8139, 0.1502, 0.2635], [0.4496, 0.6133, 0.2635], [0.4496, 0.1502, 0.2635], [0.8139, 0.6133, 0.2635], [0.4102, 0.1602, 0.8204], [0.1286, 0.8786, 0.2572], [0.1861, 0.8498, 0.7365], [0.5504, 0.3867, 0.7365], [0.5504, 0.8498, 0.7365], [0.1861, 0.3867, 0.7365]],
  "m_tot_mub_per_cell": 8.0,
  "sg": "Imma",
  "e_tot_ev_per_atom": -5.714,
  "n_ef_per_ev_cell": 0.00
}